A plane-wave DFT calculation with PBE was carried out for PmCo9Si4 after structural relaxation.

abc: 7.915 7.915 7.915
angles: 121.53 121.53 87.36
Fractional positions:
Pm 0.250 0.250 0.000
Pm 0.750 0.750 0.000
Co 0.000 0.500 0.500
Co 0.050 0.550 0.240
Co 0.070 0.801 0.871
Co 0.190 0.950 0.500
Co 0.199 0.070 0.269
Co 0.301 0.570 0.871
Co 0.310 0.810 0.760
Co 0.430 0.301 0.731
Co 0.450 0.690 0.500
Co 0.500 0.000 0.500
Co 0.550 0.310 0.500
Co 0.570 0.699 0.269
Co 0.690 0.190 0.240
Co 0.699 0.430 0.129
Co 0.801 0.930 0.731
Co 0.810 0.050 0.500
Co 0.930 0.199 0.129
Co 0.950 0.450 0.760
Si 0.047 0.210 0.500
Si 0.210 0.710 0.163
Si 0.290 0.453 0.500
Si 0.453 0.953 0.163
Si 0.547 0.047 0.837
Si 0.710 0.547 0.500
Si 0.790 0.290 0.837
Si 0.953 0.790 0.500

Properties
Uncorrected formation energy: -0.4829 eV per atom
Density: 7647 kg/m3